# InHS2 SCAN PBEsol geometry
# final energy: -14.4402 eV per atom
data_InHS2
_chemical_formula_sum 'In3 H3 S6'
_cell_length_a 3.8629
_cell_length_b 3.8629
_cell_length_c 17.9949
_cell_angle_alpha 90.00
_cell_angle_beta 90.00
_cell_angle_gamma 120.00
_symmetry_space_group_name_H-M 'R -3 m'
_symmetry_Int_Tables_number 166
_symmetry_space_group_name_Hall '-R 3 2"'
loop_
_atom_site_label
_atom_site_fract_x
_atom_site_fract_y
_atom_site_fract_z
In1 0.0000 0.0000 0.0000
H1 0.0000 0.0000 0.5000
S1 0.0000 0.0000 0.4092